Cs2AcHg | PBE | relaxed

a = 14.3174 Å, b = 14.3174 Å, c = 14.3174 Å
α = 16.76°, β = 16.76°, γ = 16.76°
Closest atoms and distances in Å follow each position.
Fractional coordinates of all 4 atoms:
Cs1 0.0970 0.0970 0.0970  3 Hg 3.81, 1 Ac 4.11, 6 Cs 4.17
Cs2 0.9030 0.9030 0.9030  3 Hg 3.81, 1 Ac 4.11, 6 Cs 4.17
Ac1 0.0000 0.0000 0.0000  2 Cs 4.11, 6 Ac 4.17
Hg1 0.5000 0.5000 0.5000  6 Cs 3.81, 6 Hg 4.17

ΔH_f (0 K): 21.4 kJ per mole of atoms
Space group: No. 166
E: -1.307 eV per atom

AlHg2POs | PBE | relaxed

a = 4.9721 Å, b = 4.9721 Å, c = 4.5964 Å
α = 90.00°, β = 90.00°, γ = 90.00°
Closest atoms and distances in Å follow each position.
Fractional coordinates of all 5 atoms:
Al1 0.0000 0.0000 0.0000  2 Os 2.30, 4 Hg 2.49
Hg1 0.0000 0.5000 0.0000  2 Al 2.49
Hg2 0.5000 0.0000 0.0000  2 Al 2.49
P1 0.5000 0.5000 0.5000  8 Hg 3.39, 4 Os 3.52
Os1 0.0000 0.0000 0.5000  2 Al 2.30

ΔH_f (0 K): 133.4 kJ per mole of atoms
Space group: No. 123
E: -2.814 eV per atom

AlTcI2O | PBE | relaxed

a = 5.6712 Å, b = 5.6712 Å, c = 3.7766 Å
α = 90.00°, β = 90.00°, γ = 90.00°
Closest atoms and distances in Å follow each position.
Fractional coordinates of all 5 atoms:
Al1 0.0000 0.0000 0.0000  8 I 3.41, 2 Al 3.78
Tc1 0.5000 0.5000 0.5000  2 O 1.89
I1 0.0000 0.5000 0.5000  2 Tc 2.84
I2 0.5000 0.0000 0.5000  2 Tc 2.84
O1 0.5000 0.5000 0.0000  2 Tc 1.89

ΔE_f (raw): -0.9 eV per formula unit
Space group: No. 123
E: -4.613 eV per atom

Zn2Ni15Ge2 | PBE | relaxed

a = 6.2360 Å, b = 6.2360 Å, c = 6.2360 Å
α = 80.31°, β = 80.31°, γ = 80.31°
Closest atoms and distances in Å follow each position.
Fractional coordinates of all 19 atoms:
Zn1 0.0998 0.0998 0.0998  6 Ni 2.47-2.50, 1 Zn 2.49
Zn2 0.9002 0.9002 0.9002  6 Ni 2.47-2.50, 1 Zn 2.49
Ni1 0.0000 0.0000 0.5000  8 Ni 2.34-2.48, 2 Zn 2.47
Ni2 0.0000 0.3344 0.6656  9 Ni 2.47-2.69, 2 Ge 2.71
Ni3 0.0000 0.5000 0.0000  8 Ni 2.34-2.48, 2 Zn 2.47
Ni4 0.0000 0.6656 0.3344  9 Ni 2.47-2.69, 2 Ge 2.71
Ni5 0.1728 0.6641 0.6641  8 Ni 2.28-2.47, 1 Zn 2.50
Ni6 0.3344 0.0000 0.6656  9 Ni 2.47-2.69, 2 Ge 2.71
Ni7 0.3344 0.6656 0.0000  9 Ni 2.47-2.69, 2 Ge 2.71
Ni8 0.3359 0.3359 0.8272  8 Ni 2.28-2.47, 1 Zn 2.50
Ni9 0.3359 0.8272 0.3359  8 Ni 2.28-2.47, 1 Zn 2.50
Ni10 0.5000 0.0000 0.0000  8 Ni 2.34-2.48, 2 Zn 2.47
Ni11 0.6641 0.1728 0.6641  8 Ni 2.28-2.47, 1 Zn 2.50
Ni12 0.6641 0.6641 0.1728  8 Ni 2.28-2.47, 1 Zn 2.50
Ni13 0.6656 0.0000 0.3344  9 Ni 2.47-2.69, 2 Ge 2.71
Ni14 0.6656 0.3344 0.0000  9 Ni 2.47-2.69, 2 Ge 2.71
Ni15 0.8272 0.3359 0.3359  8 Ni 2.28-2.47, 1 Zn 2.50
Ge1 0.3669 0.3669 0.3669  12 Ni 2.71-2.82
Ge2 0.6331 0.6331 0.6331  12 Ni 2.71-2.82

ΔH_f (0 K): 8.7 kJ per mole of atoms
Space group: No. 166
E: -5.095 eV per atom

Ba2CaPdI | PBE | relaxed

a = 6.3709 Å, b = 6.3709 Å, c = 5.5315 Å
α = 90.00°, β = 90.00°, γ = 90.00°
Closest atoms and distances in Å follow each position.
Fractional coordinates of all 5 atoms:
Ba1 0.0000 0.5000 0.0000  2 Pd 3.19
Ba2 0.5000 0.0000 0.0000  2 Pd 3.19
Ca1 0.0000 0.0000 0.5000  2 Pd 2.77
Pd1 0.0000 0.0000 0.0000  2 Ca 2.77
I1 0.5000 0.5000 0.5000  8 Ba 4.22, 4 Ca 4.50

ΔE_f (raw): -3.1 eV per formula unit
Space group: No. 123
E: -3.134 eV per atom

Ba2LaTcSb | PBE | relaxed

a = 6.5396 Å, b = 6.5396 Å, c = 4.6646 Å
α = 90.00°, β = 90.00°, γ = 90.00°
Closest atoms and distances in Å follow each position.
Fractional coordinates of all 5 atoms:
Ba1 0.0000 0.5000 0.0000  2 La 3.27
Ba2 0.5000 0.0000 0.0000  2 La 3.27
La1 0.0000 0.0000 0.0000  2 Tc 2.33
Tc1 0.0000 0.0000 0.5000  2 La 2.33
Sb1 0.5000 0.5000 0.5000  8 Ba 4.02

ΔE_f (raw): 2.8 eV per formula unit
Space group: No. 123
E: -4.098 eV per atom

CsIn2Sb | PBE | relaxed

a = 8.4301 Å, b = 8.4301 Å, c = 8.4301 Å
α = 33.72°, β = 33.72°, γ = 33.72°
Closest atoms and distances in Å follow each position.
Fractional coordinates of all 4 atoms:
Cs1 0.0000 0.0000 0.0000  6 In 3.86
In1 0.2227 0.2227 0.2227  3 Sb 3.12
In2 0.7773 0.7773 0.7773  3 Sb 3.12
Sb1 0.5000 0.5000 0.5000  6 In 3.12

ΔE_f (raw): -0.6 eV per formula unit
Space group: No. 166
E: -2.764 eV per atom

V2ZnC | PBE | relaxed

a = 5.0392 Å, b = 5.0392 Å, c = 5.0392 Å
α = 105.80°, β = 105.80°, γ = 117.09°
Closest atoms and distances in Å follow each position.
Fractional coordinates of all 8 atoms:
V1 0.0617 0.1250 0.4367  2 C 2.01
V2 0.3750 0.9383 0.0633  2 C 2.01
V3 0.6883 0.6250 0.5633  2 C 2.01
V4 0.8750 0.3117 0.9367  2 C 2.01
Zn1 0.2500 0.7500 0.5000  8 V 2.52-2.74, 2 C 2.63
Zn2 0.5000 0.5000 0.0000  8 V 2.52-2.74, 2 C 2.63
C1 0.0000 0.0000 0.0000  4 V 2.01
C2 0.7500 0.2500 0.5000  4 V 2.01

ΔH_f (0 K): 24.2 kJ per mole of atoms
Space group: No. 122
E: -6.933 eV per atom

Li2YH8Ir | PBE | relaxed

a = 4.4202 Å, b = 4.4202 Å, c = 5.9704 Å
α = 90.00°, β = 90.00°, γ = 120.00°
Closest atoms and distances in Å follow each position.
Fractional coordinates of all 12 atoms:
Li1 0.3333 0.6667 0.3692  4 H 1.96-2.16
Li2 0.6667 0.3333 0.6308  4 H 1.96-2.16
Y1 0.0000 0.0000 0.0000  12 H 2.39-2.56
H1 0.1742 0.3485 0.6688  1 Ir 1.67
H2 0.1742 0.8258 0.6688  1 Ir 1.67
H3 0.3333 0.6667 0.0404  1 Li 1.96
H4 0.3485 0.1742 0.3312  1 Ir 1.67
H5 0.6515 0.8258 0.6688  1 Ir 1.67
H6 0.6667 0.3333 0.9596  1 Li 1.96
H7 0.8258 0.1742 0.3312  1 Ir 1.67
H8 0.8258 0.6515 0.3312  1 Ir 1.67
Ir1 0.0000 0.0000 0.5000  6 H 1.67

Space group: No. 164
E: -4.298 eV per atom

Cd2TcTe | PBE | relaxed

a = 3.2415 Å, b = 5.5539 Å, c = 4.6916 Å
α = 90.00°, β = 91.58°, γ = 90.00°
Closest atoms and distances in Å follow each position.
Fractional coordinates of all 4 atoms:
Cd1 0.2463 0.0000 0.2426  4 Cd 2.74-2.93
Cd2 0.7537 0.0000 0.7574  4 Cd 2.74-2.93
Tc1 0.0000 0.5000 0.0000  4 Te 2.81-2.89, 4 Cd 3.10
Te1 0.5000 0.5000 0.5000  4 Tc 2.81-2.89, 4 Cd 3.13

ΔE_f (raw): 2.0 eV per formula unit
Space group: No. 10
E: -3.346 eV per atom

CuAu2Se | PBE | relaxed

a = 6.4056 Å, b = 6.4056 Å, c = 6.4056 Å
α = 148.51°, β = 147.43°, γ = 45.93°
Closest atoms and distances in Å follow each position.
Fractional coordinates of all 4 atoms:
Cu1 0.0000 0.0000 0.0000  4 Se 2.50
Au1 0.1922 0.6922 0.5000  4 Au 2.85, 2 Cu 2.86, 2 Se 2.89
Au2 0.8078 0.3078 0.5000  4 Au 2.85, 2 Cu 2.86, 2 Se 2.89
Se1 0.5000 0.5000 0.0000  4 Cu 2.50

ΔE_f (raw): 0.6 eV per formula unit
Space group: No. 71
E: -3.396 eV per atom

CaIr2Pt | PBE | relaxed

a = 2.8220 Å, b = 4.4933 Å, c = 5.5265 Å
α = 90.00°, β = 103.58°, γ = 90.00°
Closest atoms and distances in Å follow each position.
Fractional coordinates of all 4 atoms:
Ca1 0.0000 0.0000 0.0000  1 Ir 2.68, 2 Ca 2.82, 4 Pt 2.82-2.84
Ir1 0.2772 0.0000 0.4985  1 Ca 2.68, 6 Ir 2.73-2.82, 2 Pt 2.82
Ir2 0.7104 0.5000 0.3709  6 Ir 2.73-2.82, 3 Pt 2.77-2.98
Pt1 0.4200 0.5000 0.8160  5 Ir 2.77-2.98, 2 Pt 2.82, 4 Ca 2.82-2.84

ΔH_f (0 K): -12.3 kJ per mole of atoms
Space group: No. 6
E: -6.569 eV per atom

AlNiMo3 | PBE | relaxed

a = 4.4711 Å, b = 4.4711 Å, c = 4.4711 Å
α = 90.00°, β = 90.00°, γ = 90.00°
Closest atoms and distances in Å follow each position.
Fractional coordinates of all 5 atoms:
Al1 0.0000 0.0000 0.0000  12 Mo 3.16
Ni1 0.5000 0.5000 0.5000  6 Mo 2.24
Mo1 0.0000 0.5000 0.5000  2 Ni 2.24
Mo2 0.5000 0.0000 0.5000  2 Ni 2.24
Mo3 0.5000 0.5000 0.0000  2 Ni 2.24

ΔH_f (0 K): 110.7 kJ per mole of atoms
Space group: No. 221
E: -7.256 eV per atom

Na2TlBiF | PBE | relaxed

a = 4.6659 Å, b = 4.6659 Å, c = 5.5966 Å
α = 90.00°, β = 90.00°, γ = 90.00°
Closest atoms and distances in Å follow each position.
Fractional coordinates of all 5 atoms:
Na1 0.0000 0.5000 0.0000  2 F 2.33
Na2 0.5000 0.0000 0.0000  2 F 2.33
Tl1 0.0000 0.0000 0.5000  2 F 2.80
Bi1 0.5000 0.5000 0.5000  4 Tl 3.30, 8 Na 3.64
F1 0.0000 0.0000 0.0000  4 Na 2.33

ΔE_f (raw): -5.4 eV per formula unit
Space group: No. 123
E: -3.234 eV per atom

La4As2S | PBE | relaxed

a = 8.7020 Å, b = 8.7020 Å, c = 8.7020 Å
α = 144.44°, β = 144.44°, γ = 51.17°
Closest atoms and distances in Å follow each position.
Fractional coordinates of all 7 atoms:
La1 0.0000 0.5000 0.5000  2 S 2.66
La2 0.1789 0.1789 0.0000  1 S 2.81, 1 As 3.00
La3 0.5000 0.0000 0.5000  2 S 2.66
La4 0.8211 0.8211 0.0000  1 S 2.81, 1 As 3.00
As1 0.3699 0.3699 0.0000  5 La 3.00-3.35
As2 0.6301 0.6301 0.0000  5 La 3.00-3.35
S1 0.0000 0.0000 0.0000  6 La 2.66-2.81

ΔE_f (raw): -7.6 eV per formula unit
Space group: No. 139
E: -5.825 eV per atom

MgZr2Au | PBE | relaxed

a = 5.4572 Å, b = 5.4572 Å, c = 5.4572 Å
α = 134.26°, β = 134.26°, γ = 66.68°
Closest atoms and distances in Å follow each position.
Fractional coordinates of all 4 atoms:
Mg1 0.0000 0.0000 0.0000  8 Zr 3.00-3.11, 4 Au 3.11
Zr1 0.2500 0.7500 0.5000  4 Au 3.00, 4 Zr 3.11, 4 Mg 3.11
Zr2 0.5000 0.5000 0.0000  4 Mg 3.00, 4 Zr 3.11, 4 Au 3.11
Au1 0.7500 0.2500 0.5000  8 Zr 3.00-3.11, 4 Mg 3.11

ΔH_f (0 K): -15.7 kJ per mole of atoms
Space group: No. 119
E: -5.655 eV per atom

TaSe4I | PBE | relaxed

a = 8.3817 Å, b = 8.3817 Å, c = 8.3817 Å
α = 133.66°, β = 123.92°, γ = 75.61°
Closest atoms and distances in Å follow each position.
Fractional coordinates of all 12 atoms:
Ta1 0.0000 0.2493 0.2493  8 Se 2.65-2.67
Ta2 0.0000 0.7507 0.7507  8 Se 2.65-2.67
Se1 0.1193 0.9053 0.2141  1 Se 2.51, 2 Ta 2.67
Se2 0.1561 0.6561 0.5000  2 Ta 2.65, 2 Se 2.92
Se3 0.2624 0.5000 0.7624  2 Ta 2.65, 2 Se 2.92
Se4 0.3088 0.0947 0.2141  1 Se 2.51, 2 Ta 2.67
Se5 0.6912 0.9053 0.7859  1 Se 2.51, 2 Ta 2.67
Se6 0.7376 0.5000 0.2376  2 Ta 2.65, 2 Se 2.92
Se7 0.8439 0.3439 0.5000  2 Ta 2.65, 2 Se 2.92
Se8 0.8807 0.0947 0.7859  1 Se 2.51, 2 Ta 2.67
I1 0.3087 0.3087 0.0000  4 Se 3.15-3.30
I2 0.6913 0.6913 0.0000  4 Se 3.15-3.30

ΔE_f (raw): -2.1 eV per formula unit
Space group: No. 71
E: -4.906 eV per atom